An optimized crystal structure of CaPa2PtN4. Source: the Alexandria database, functional PBE.

The structure in CIF format:
```
data_CaPa2PtN4
_chemical_formula_sum 'Ca2 Pa4 Pt2 N8'
_cell_length_a 6.240
_cell_length_b 6.240
_cell_length_c 11.736
_cell_angle_alpha 90.00
_cell_angle_beta 90.00
_cell_angle_gamma 145.62
_symmetry_space_group_name_H-M 'P 1'
_symmetry_Int_Tables_number 1
loop_
_symmetry_equiv_pos_as_xyz
'x,y,z'
loop_
_atom_site_label
_atom_site_fract_x
_atom_site_fract_y
_atom_site_fract_z
Ca1 0.063 0.937 0.750
Ca2 0.937 0.063 0.250
Pa1 0.366 0.634 0.569
Pa2 0.366 0.634 0.931
Pa3 0.634 0.366 0.069
Pa4 0.634 0.366 0.431
Pt1 0.243 0.757 0.250
Pt2 0.757 0.243 0.750
N1 0.000 0.000 0.000
N2 0.000 0.000 0.500
N3 0.250 0.750 0.080
N4 0.250 0.750 0.420
N5 0.437 0.563 0.750
N6 0.563 0.437 0.250
N7 0.750 0.250 0.580
N8 0.750 0.250 0.920
```

Properties
- Calculated volume: 258.1 Å³ per cell
- Formation energy without anion corrections: -1.23 eV/atom
- Electronic total energy: -8.773 eV per atom
- Size of the total moment: 0.000 μB per atom
- Space group: Cmcm, No. 63

=====

An optimized crystal structure of CaPuPa2N5. Source: the Alexandria database, functional PBE.

The structure in CIF format:
```
data_CaPuPa2N5
_chemical_formula_sum 'Ca2 Pu2 Pa4 N10'
_cell_length_a 7.765
_cell_length_b 7.765
_cell_length_c 7.765
_cell_angle_alpha 128.48
_cell_angle_beta 128.48
_cell_angle_gamma 75.85
_symmetry_space_group_name_H-M 'P 1'
_symmetry_Int_Tables_number 1
loop_
_symmetry_equiv_pos_as_xyz
'x,y,z'
loop_
_atom_site_label
_atom_site_fract_x
_atom_site_fract_y
_atom_site_fract_z
Ca1 0.250 0.250 0.000
Ca2 0.750 0.750 0.000
Pu1 0.250 0.750 0.500
Pu2 0.750 0.250 0.500
Pa1 0.177 0.677 0.854
Pa2 0.323 0.177 0.500
Pa3 0.677 0.823 0.500
Pa4 0.823 0.323 0.146
N1 0.000 0.000 0.000
N2 0.035 0.222 0.500
N3 0.222 0.722 0.187
N4 0.278 0.465 0.500
N5 0.465 0.965 0.187
N6 0.500 0.500 0.000
N7 0.535 0.035 0.813
N8 0.722 0.535 0.500
N9 0.778 0.278 0.813
N10 0.965 0.778 0.500
```

Properties
- Calculated volume: 279.0 Å³ per cell
- Formation energy without anion corrections: -1.14 eV/atom
- Electronic total energy: -9.691 eV per atom
- Size of the total moment: 0.555 μB per atom
- Space group: I4/mcm, No. 140

=====

An optimized crystal structure of Ca3PuPa2N6. Source: the Alexandria database, functional PBE.

The structure in CIF format:
```
data_Ca3PuPa2N6
_chemical_formula_sum 'Ca3 Pu1 Pa2 N6'
_cell_length_a 7.868
_cell_length_b 7.868
_cell_length_c 7.024
_cell_angle_alpha 102.30
_cell_angle_beta 102.30
_cell_angle_gamma 26.13
_symmetry_space_group_name_H-M 'P 1'
_symmetry_Int_Tables_number 1
loop_
_symmetry_equiv_pos_as_xyz
'x,y,z'
loop_
_atom_site_label
_atom_site_fract_x
_atom_site_fract_y
_atom_site_fract_z
Ca1 0.000 0.000 0.000
Ca2 0.335 0.335 0.666
Ca3 0.665 0.665 0.334
Pu1 0.000 0.000 0.500
Pa1 0.335 0.335 0.172
Pa2 0.665 0.665 0.828
N1 0.166 0.166 0.610
N2 0.176 0.176 0.060
N3 0.489 0.489 0.258
N4 0.511 0.511 0.742
N5 0.824 0.824 0.940
N6 0.834 0.834 0.390
```

Properties
- Calculated volume: 186.8 Å³ per cell
- Formation energy without anion corrections: -1.39 eV/atom
- Electronic total energy: -8.833 eV per atom
- Size of the total moment: 0.486 μB per atom
- Space group: C2/m, No. 12

=====

An optimized crystal structure of Ca3Pu2PaN6. Source: the Alexandria database, functional PBE.

The structure in CIF format:
```
data_Ca3Pu2PaN6
_chemical_formula_sum 'Ca3 Pu2 Pa1 N6'
_cell_length_a 6.117
_cell_length_b 6.117
_cell_length_c 6.042
_cell_angle_alpha 99.70
_cell_angle_beta 99.70
_cell_angle_gamma 120.00
_symmetry_space_group_name_H-M 'P 1'
_symmetry_Int_Tables_number 1
loop_
_symmetry_equiv_pos_as_xyz
'x,y,z'
loop_
_atom_site_label
_atom_site_fract_x
_atom_site_fract_y
_atom_site_fract_z
Ca1 0.000 0.000 0.000
Ca2 0.332 0.668 0.000
Ca3 0.668 0.332 0.000
Pu1 0.167 0.833 0.500
Pu2 0.833 0.167 0.500
Pa1 0.500 0.500 0.500
N1 0.101 0.428 0.285
N2 0.244 0.244 0.715
N3 0.428 0.101 0.285
N4 0.572 0.899 0.715
N5 0.756 0.756 0.285
N6 0.899 0.572 0.715
```

Properties
- Calculated volume: 184.3 Å³ per cell
- Formation energy without anion corrections: -1.31 eV/atom
- Electronic total energy: -9.151 eV per atom
- Size of the total moment: 0.750 μB per atom
- Space group: C2/m, No. 12

=====

An optimized crystal structure of CaPu3Pa2N6. Source: the Alexandria database, functional PBE.

The structure in CIF format:
```
data_CaPu3Pa2N6
_chemical_formula_sum 'Ca1 Pu3 Pa2 N6'
_cell_length_a 7.823
_cell_length_b 7.823
_cell_length_c 6.976
_cell_angle_alpha 102.98
_cell_angle_beta 102.98
_cell_angle_gamma 25.98
_symmetry_space_group_name_H-M 'P 1'
_symmetry_Int_Tables_number 1
loop_
_symmetry_equiv_pos_as_xyz
'x,y,z'
loop_
_atom_site_label
_atom_site_fract_x
_atom_site_fract_y
_atom_site_fract_z
Ca1 0.000 0.000 0.000
Pu1 0.000 0.000 0.500
Pu2 0.335 0.335 0.166
Pu3 0.665 0.665 0.834
Pa1 0.334 0.334 0.670
Pa2 0.666 0.666 0.330
N1 0.169 0.169 0.094
N2 0.169 0.169 0.573
N3 0.492 0.492 0.730
N4 0.508 0.508 0.270
N5 0.831 0.831 0.427
N6 0.831 0.831 0.906
```

Properties
- Calculated volume: 182.0 Å³ per cell
- Formation energy without anion corrections: -1.36 eV/atom
- Electronic total energy: -10.851 eV per atom
- Size of the total moment: 0.497 μB per atom
- Space group: C2/m, No. 12

=====

An optimized crystal structure of Ca3PuPa3N8. Source: the Alexandria database, functional PBE.

The structure in CIF format:
```
data_Ca3PuPa3N8
_chemical_formula_sum 'Ca3 Pu1 Pa3 N8'
_cell_length_a 7.007
_cell_length_b 7.007
_cell_length_c 7.007
_cell_angle_alpha 60.88
_cell_angle_beta 60.88
_cell_angle_gamma 60.88
_symmetry_space_group_name_H-M 'P 1'
_symmetry_Int_Tables_number 1
loop_
_symmetry_equiv_pos_as_xyz
'x,y,z'
loop_
_atom_site_label
_atom_site_fract_x
_atom_site_fract_y
_atom_site_fract_z
Ca1 0.000 0.500 0.500
Ca2 0.500 0.000 0.500
Ca3 0.500 0.500 0.000
Pu1 0.500 0.500 0.500
Pa1 0.000 0.000 0.500
Pa2 0.000 0.500 0.000
Pa3 0.500 0.000 0.000
N1 0.230 0.730 0.730
N2 0.242 0.242 0.242
N3 0.270 0.270 0.770
N4 0.270 0.770 0.270
N5 0.730 0.230 0.730
N6 0.730 0.730 0.230
N7 0.758 0.758 0.758
N8 0.770 0.270 0.270
```

Properties
- Calculated volume: 248.1 Å³ per cell
- Formation energy without anion corrections: -1.34 eV/atom
- Electronic total energy: -9.035 eV per atom
- Size of the total moment: 0.332 μB per atom
- Space group: R-3m, No. 166

=====

> Among the records above, which one has the lowest size of the total moment?

CaPa2PtN4

=====

> formation energy without anion corrections of number 4 (Ca3Pu2PaN6)?

-1.31 eV/atom

=====

Please write out number 6 again, unchanged.
An optimized crystal structure of Ca3PuPa3N8. Source: the Alexandria database, functional PBE.

The structure in CIF format:
```
data_Ca3PuPa3N8
_chemical_formula_sum 'Ca3 Pu1 Pa3 N8'
_cell_length_a 7.007
_cell_length_b 7.007
_cell_length_c 7.007
_cell_angle_alpha 60.88
_cell_angle_beta 60.88
_cell_angle_gamma 60.88
_symmetry_space_group_name_H-M 'P 1'
_symmetry_Int_Tables_number 1
loop_
_symmetry_equiv_pos_as_xyz
'x,y,z'
loop_
_atom_site_label
_atom_site_fract_x
_atom_site_fract_y
_atom_site_fract_z
Ca1 0.000 0.500 0.500
Ca2 0.500 0.000 0.500
Ca3 0.500 0.500 0.000
Pu1 0.500 0.500 0.500
Pa1 0.000 0.000 0.500
Pa2 0.000 0.500 0.000
Pa3 0.500 0.000 0.000
N1 0.230 0.730 0.730
N2 0.242 0.242 0.242
N3 0.270 0.270 0.770
N4 0.270 0.770 0.270
N5 0.730 0.230 0.730
N6 0.730 0.730 0.230
N7 0.758 0.758 0.758
N8 0.770 0.270 0.270
```

Properties
- Calculated volume: 248.1 Å³ per cell
- Formation energy without anion corrections: -1.34 eV/atom
- Electronic total energy: -9.035 eV per atom
- Size of the total moment: 0.332 μB per atom
- Space group: R-3m, No. 166